Material: BeOsBr
Method: DFT, PBE-GGA
State: optimized geometry

Cell lengths 4.3582, 4.3582, 2.8354 Å; angles 90.00, 90.00, 120.00 degrees
With the nearest neighbours (Å) after each atom.
Positions (direct):
Br1 0.3333 0.6667 0.6110  3 Os 2.52, 3 Be 2.56
Be1 0.0000 0.0000 0.7675  3 Os 2.55, 3 Br 2.56, 2 Be 2.84
Os1 0.6667 0.3333 0.6215  3 Br 2.52, 3 Be 2.55

size of the total moment	0.00	Bohr magnetons per cell
crystal system	trigonal
ΔE to the lowest computed polymorph	582	meV per atom
symmetry	P3m1, No. 156
total energy	-4.3354	eV/atom

Material: Be2OsBr
Method: DFT, PBE-GGA
State: optimized geometry

Cell lengths 2.7368, 2.7368, 9.2828 Å; angles 90.00, 90.00, 116.16 degrees
With the nearest neighbours (Å) after each atom.
Positions (direct):
Be1 0.0000 0.0000 0.0239  2 Be 2.25, 2 Os 2.27
Be2 0.5000 0.5000 0.2089  2 Be 2.25
Br1 0.0000 0.0000 0.4312  2 Be 2.52, 4 Br 2.74
Os1 0.5000 0.5000 0.8360  2 Be 2.27

size of the total moment	0.00	Bohr magnetons per cell
crystal system	orthorhombic
ΔE to the lowest computed polymorph	609	meV per atom
symmetry	Cmm2, No. 35
total energy	-4.2623	eV/atom

Material: Be2OsBr
Method: DFT, PBE-GGA
State: optimized geometry

Cell lengths 3.2987, 2.9907, 7.0799 Å; angles 101.57, 90.00, 90.00 degrees
With the nearest neighbours (Å) after each atom.
Positions (direct):
Br1 0.0000 0.3844 0.4100  2 Be 2.23
Be1 0.5000 0.2815 0.1927  2 Br 2.23, 2 Be 2.25, 2 Os 2.38
Be2 0.0000 0.1780 0.9715  4 Os 2.25, 2 Be 2.25
Os1 0.5000 0.6561 0.9258  6 Be 2.25-2.38

size of the total moment	0.00	Bohr magnetons per cell
crystal system	monoclinic
ΔE to the lowest computed polymorph	60	meV per atom
symmetry	Pm, No. 6
total energy	-4.8115	eV/atom

Material: Be2OsBr
Method: DFT, PBE-GGA
State: optimized geometry

Cell lengths 5.5404, 5.5404, 5.5404 Å; angles 145.36, 145.36, 49.81 degrees
With the nearest neighbours (Å) after each atom.
Positions (direct):
Be1 0.0000 0.0000 0.0000  4 Br 2.33
Be2 0.2500 0.7500 0.5000  4 Os 2.33
Br1 0.5000 0.5000 0.0000  4 Be 2.33
Os1 0.7500 0.2500 0.5000  4 Be 2.33

size of the total moment	0.00	Bohr magnetons per cell
crystal system	tetragonal
ΔE to the lowest computed polymorph	690	meV per atom
symmetry	I-4m2, No. 119
total energy	-4.1813	eV/atom